AgHg2Au | meta-GGA SCAN | single point on PBEsol structure

Structure (CIF):
```
data_AgHg2Au
_space_group_name_H-M_alt 'P 1'
_space_group_IT_number 1
_cell_length_a 3.050
_cell_length_b 3.050
_cell_length_c 9.537
_cell_angle_alpha 80.80
_cell_angle_beta 80.80
_cell_angle_gamma 60.00
loop_
_space_group_symop_operation_xyz
'x,y,z'
loop_
_atom_site_label
_atom_site_type_symbol
_atom_site_fract_x
_atom_site_fract_y
_atom_site_fract_z
Hg1 Hg 0.249 0.249 0.253
Hg2 Hg 0.751 0.751 0.747
Ag1 Ag 0.500 0.500 0.500
Au1 Au 0.000 0.000 0.000
```

Values from the calculation:
- calculated total energy (Ha/atom) = -2.173

---

PPtCl2 | meta-GGA SCAN | single point on PBEsol structure

Structure (CIF):
```
data_PPtCl2
_space_group_name_H-M_alt 'P 1'
_space_group_IT_number 1
_cell_length_a 4.146
_cell_length_b 4.146
_cell_length_c 4.856
_cell_angle_alpha 112.75
_cell_angle_beta 112.75
_cell_angle_gamma 95.40
loop_
_space_group_symop_operation_xyz
'x,y,z'
loop_
_atom_site_label
_atom_site_type_symbol
_atom_site_fract_x
_atom_site_fract_y
_atom_site_fract_z
Cl1 Cl 0.000 0.500 0.500
Cl2 Cl 0.500 0.000 0.500
Pt1 Pt 0.000 0.000 0.000
P1 P 0.500 0.500 0.000
```

Values from the calculation:
- excess energy over the best structure of this formula in the dataset (meV/atom) = 1171
- formation energy from raw total energies (meV/atom) = 466

---

Sc2ReRh2 | meta-GGA SCAN | single point on PBEsol structure

Structure (CIF):
```
data_Sc2ReRh2
_space_group_name_H-M_alt 'P 1'
_space_group_IT_number 1
_cell_length_a 3.411
_cell_length_b 3.411
_cell_length_c 7.978
_cell_angle_alpha 102.34
_cell_angle_beta 102.34
_cell_angle_gamma 90.00
loop_
_space_group_symop_operation_xyz
'x,y,z'
loop_
_atom_site_label
_atom_site_type_symbol
_atom_site_fract_x
_atom_site_fract_y
_atom_site_fract_z
Sc1 Sc 0.600 0.600 0.200
Sc2 Sc 0.400 0.400 0.800
Re1 Re 0.000 0.000 0.000
Rh1 Rh 0.750 0.250 0.500
Rh2 Rh 0.250 0.750 0.500
```

Values from the calculation:
- calculated total energy (Ha/atom) = -1.226

---

Li2YPb2 | meta-GGA SCAN | single point on PBEsol structure

Structure (CIF):
```
data_Li2YPb2
_space_group_name_H-M_alt 'P 1'
_space_group_IT_number 1
_cell_length_a 4.261
_cell_length_b 4.261
_cell_length_c 7.045
_cell_angle_alpha 107.60
_cell_angle_beta 107.60
_cell_angle_gamma 90.00
loop_
_space_group_symop_operation_xyz
'x,y,z'
loop_
_atom_site_label
_atom_site_type_symbol
_atom_site_fract_x
_atom_site_fract_y
_atom_site_fract_z
Li1 Li 0.250 0.750 0.500
Li2 Li 0.750 0.250 0.500
Y1 Y 0.000 0.000 0.000
Pb1 Pb 0.614 0.614 0.228
Pb2 Pb 0.386 0.386 0.772
```

Values from the calculation:
- excess energy over the best structure of this formula in the dataset (meV/atom) = 0

---

CrFe2H | meta-GGA SCAN | single point on PBEsol structure

Structure (CIF):
```
data_CrFe2H
_space_group_name_H-M_alt 'P 1'
_space_group_IT_number 1
_cell_length_a 3.703
_cell_length_b 3.703
_cell_length_c 3.703
_cell_angle_alpha 60.00
_cell_angle_beta 60.00
_cell_angle_gamma 60.00
loop_
_space_group_symop_operation_xyz
'x,y,z'
loop_
_atom_site_label
_atom_site_type_symbol
_atom_site_fract_x
_atom_site_fract_y
_atom_site_fract_z
Fe1 Fe 0.750 0.750 0.750
Fe2 Fe 0.250 0.250 0.250
Cr1 Cr 0.500 0.500 0.500
H1 H 0.000 0.000 0.000
```

Values from the calculation:
- calculated total energy (Ha/atom) = -0.506

---

GaIrSe2Br | meta-GGA SCAN | single point on PBEsol structure

Structure (CIF):
```
data_GaIrSe2Br
_space_group_name_H-M_alt 'P 1'
_space_group_IT_number 1
_cell_length_a 4.536
_cell_length_b 5.238
_cell_length_c 5.238
_cell_angle_alpha 90.00
_cell_angle_beta 90.00
_cell_angle_gamma 90.00
loop_
_space_group_symop_operation_xyz
'x,y,z'
loop_
_atom_site_label
_atom_site_type_symbol
_atom_site_fract_x
_atom_site_fract_y
_atom_site_fract_z
Ir1 Ir 0.500 0.000 0.000
Ga1 Ga 0.500 0.500 0.500
Se1 Se 0.000 0.500 0.000
Se2 Se 0.000 0.000 0.500
Br1 Br 0.000 0.000 0.000
```

Values from the calculation:
- formation energy from raw total energies (meV/atom) = 1372

---

Li2SiPb | meta-GGA SCAN | single point on PBEsol structure

Structure (CIF):
```
data_Li2SiPb
_space_group_name_H-M_alt 'P 1'
_space_group_IT_number 1
_cell_length_a 4.646
_cell_length_b 4.646
_cell_length_c 4.646
_cell_angle_alpha 60.00
_cell_angle_beta 60.00
_cell_angle_gamma 60.00
loop_
_space_group_symop_operation_xyz
'x,y,z'
loop_
_atom_site_label
_atom_site_type_symbol
_atom_site_fract_x
_atom_site_fract_y
_atom_site_fract_z
Si1 Si 0.500 0.500 0.500
Pb1 Pb 0.000 0.000 0.000
Li1 Li 0.250 0.250 0.250
Li2 Li 0.750 0.750 0.750
```

Values from the calculation:
- excess energy over the best structure of this formula in the dataset (meV/atom) = 0
- formation energy from raw total energies (meV/atom) = -108

---

Zr2CrCu | meta-GGA SCAN | single point on PBEsol structure

Structure (CIF):
```
data_Zr2CrCu
_space_group_name_H-M_alt 'P 1'
_space_group_IT_number 1
_cell_length_a 3.020
_cell_length_b 3.020
_cell_length_c 9.086
_cell_angle_alpha 80.43
_cell_angle_beta 80.43
_cell_angle_gamma 60.00
loop_
_space_group_symop_operation_xyz
'x,y,z'
loop_
_atom_site_label
_atom_site_type_symbol
_atom_site_fract_x
_atom_site_fract_y
_atom_site_fract_z
Cu1 Cu 0.243 0.243 0.270
Zr1 Zr 0.759 0.759 0.723
Zr2 Zr 0.992 0.992 0.025
Cr1 Cr 0.506 0.506 0.482
```

Values from the calculation:
- calculated total energy (Ha/atom) = -0.860

---

Tc2SN | meta-GGA SCAN | single point on PBEsol structure

Structure (CIF):
```
data_Tc2SN
_space_group_name_H-M_alt 'P 1'
_space_group_IT_number 1
_cell_length_a 3.954
_cell_length_b 3.954
_cell_length_c 3.954
_cell_angle_alpha 60.00
_cell_angle_beta 60.00
_cell_angle_gamma 60.00
loop_
_space_group_symop_operation_xyz
'x,y,z'
loop_
_atom_site_label
_atom_site_type_symbol
_atom_site_fract_x
_atom_site_fract_y
_atom_site_fract_z
N1 N 0.000 0.000 0.000
S1 S 0.500 0.500 0.500
Tc1 Tc 0.250 0.250 0.250
Tc2 Tc 0.750 0.750 0.750
```

Values from the calculation:
- formation energy from raw total energies (meV/atom) = 451

---

InFePb2 | meta-GGA SCAN | single point on PBEsol structure

Structure (CIF):
```
data_InFePb2
_space_group_name_H-M_alt 'P 1'
_space_group_IT_number 1
_cell_length_a 4.032
_cell_length_b 4.805
_cell_length_c 4.805
_cell_angle_alpha 90.00
_cell_angle_beta 90.00
_cell_angle_gamma 90.00
loop_
_space_group_symop_operation_xyz
'x,y,z'
loop_
_atom_site_label
_atom_site_type_symbol
_atom_site_fract_x
_atom_site_fract_y
_atom_site_fract_z
Fe1 Fe 0.500 0.500 0.500
In1 In 0.500 0.000 0.000
Pb1 Pb 0.000 0.000 0.500
Pb2 Pb 0.000 0.500 0.000
```

Values from the calculation:
- excess energy over the best structure of this formula in the dataset (meV/atom) = 239

---

K6Sn3As5 | meta-GGA SCAN | single point on PBEsol structure

Structure (CIF):
```
data_K6Sn3As5
_space_group_name_H-M_alt 'P 1'
_space_group_IT_number 1
_cell_length_a 10.692
_cell_length_b 10.858
_cell_length_c 14.689
_cell_angle_alpha 90.00
_cell_angle_beta 90.00
_cell_angle_gamma 90.00
loop_
_space_group_symop_operation_xyz
'x,y,z'
loop_
_atom_site_label
_atom_site_type_symbol
_atom_site_fract_x
_atom_site_fract_y
_atom_site_fract_z
As1 As 0.808 0.410 0.354
As2 As 0.500 0.217 0.500
As3 As 0.308 0.590 0.854
As4 As 0.192 0.410 0.354
As5 As 0.692 0.590 0.146
As6 As 0.692 0.590 0.854
As7 As 0.500 0.910 0.771
As8 As 0.192 0.410 0.646
As9 As 0.000 0.422 0.000
As10 As 0.182 0.902 0.500
As11 As 0.818 0.902 0.500
As12 As 0.000 0.090 0.729
As13 As 0.000 0.783 0.000
As14 As 0.500 0.910 0.229
As15 As 0.000 0.090 0.271
As16 As 0.808 0.410 0.646
As17 As 0.500 0.578 0.500
As18 As 0.318 0.098 0.000
As19 As 0.682 0.098 0.000
As20 As 0.308 0.590 0.146
K1 K 0.202 0.298 0.852
K2 K 0.298 0.702 0.648
K3 K 0.298 0.702 0.352
K4 K 0.792 0.894 0.148
K5 K 0.708 0.106 0.352
K6 K 0.000 0.589 0.219
K7 K 0.000 0.583 0.500
K8 K 0.500 0.903 0.500
K9 K 0.798 0.298 0.852
K10 K 0.702 0.702 0.648
K11 K 0.702 0.702 0.352
K12 K 0.292 0.106 0.648
K13 K 0.000 0.097 0.000
K14 K 0.708 0.106 0.648
K15 K 0.500 0.417 0.000
K16 K 0.292 0.106 0.352
K17 K 0.792 0.894 0.852
K18 K 0.000 0.589 0.781
K19 K 0.500 0.411 0.719
K20 K 0.208 0.894 0.148
K21 K 0.798 0.298 0.148
K22 K 0.500 0.411 0.281
K23 K 0.202 0.298 0.148
K24 K 0.208 0.894 0.852
Sn1 Sn 0.330 0.398 0.500
Sn2 Sn 0.670 0.398 0.500
Sn3 Sn 0.000 0.267 0.603
Sn4 Sn 0.500 0.733 0.897
Sn5 Sn 0.500 0.733 0.103
Sn6 Sn 0.830 0.602 0.000
Sn7 Sn 0.000 0.880 0.373
Sn8 Sn 0.500 0.120 0.873
Sn9 Sn 0.000 0.880 0.627
Sn10 Sn 0.000 0.267 0.397
Sn11 Sn 0.170 0.602 0.000
Sn12 Sn 0.500 0.120 0.127
```

Values from the calculation:
- calculated total energy (Ha/atom) = -0.698

---

LiMg2Hg | meta-GGA SCAN | single point on PBEsol structure

Structure (CIF):
```
data_LiMg2Hg
_space_group_name_H-M_alt 'P 1'
_space_group_IT_number 1
_cell_length_a 3.819
_cell_length_b 4.490
_cell_length_c 4.490
_cell_angle_alpha 90.00
_cell_angle_beta 90.00
_cell_angle_gamma 90.00
loop_
_space_group_symop_operation_xyz
'x,y,z'
loop_
_atom_site_label
_atom_site_type_symbol
_atom_site_fract_x
_atom_site_fract_y
_atom_site_fract_z
Mg1 Mg 0.000 0.500 0.000
Mg2 Mg 0.000 0.000 0.500
Li1 Li 0.500 0.000 0.000
Hg1 Hg 0.500 0.500 0.500
```

Values from the calculation:
- calculated total energy (Ha/atom) = -0.752

---

BaMgIr | meta-GGA SCAN | single point on PBEsol structure

Structure (CIF):
```
data_BaMgIr
_space_group_name_H-M_alt 'P 1'
_space_group_IT_number 1
_cell_length_a 4.887
_cell_length_b 4.887
_cell_length_c 4.887
_cell_angle_alpha 60.00
_cell_angle_beta 60.00
_cell_angle_gamma 60.00
loop_
_space_group_symop_operation_xyz
'x,y,z'
loop_
_atom_site_label
_atom_site_type_symbol
_atom_site_fract_x
_atom_site_fract_y
_atom_site_fract_z
Mg1 Mg 0.000 0.000 0.000
Ir1 Ir 0.250 0.250 0.250
Ba1 Ba 0.500 0.500 0.500
```

Values from the calculation:
- calculated total energy (Ha/atom) = -1.412

---

Ta2CoPt | meta-GGA SCAN | single point on PBEsol structure

Structure (CIF):
```
data_Ta2CoPt
_space_group_name_H-M_alt 'P 1'
_space_group_IT_number 1
_cell_length_a 2.774
_cell_length_b 3.869
_cell_length_c 5.533
_cell_angle_alpha 90.00
_cell_angle_beta 93.09
_cell_angle_gamma 90.00
loop_
_space_group_symop_operation_xyz
'x,y,z'
loop_
_atom_site_label
_atom_site_type_symbol
_atom_site_fract_x
_atom_site_fract_y
_atom_site_fract_z
Pt1 Pt 0.500 0.500 0.500
Co1 Co 0.500 0.500 0.000
Ta1 Ta 0.026 0.000 0.761
Ta2 Ta 0.974 0.000 0.239
```

Values from the calculation:
- calculated total energy (Ha/atom) = -2.042

---

For reference, V by record: 18.878, 17.008, 17.697, 23.127, 8.978, 24.896, 17.729, 17.609, 10.930, 23.280, 30.453, 19.242, 27.516, 14.824 Å³/atom.